No. 1
This record from Alexandria describes crystalline Sc2CrC2 at its relaxed geometry. The functional is PBE-GGA.

abc: 5.9546 5.9546 3.3129
angles: 90.00 90.00 90.00
Element x y z (fractional)
Sc: 0.1578 0.3422 0.0000
Sc: 0.3422 0.8422 0.0000
Sc: 0.6578 0.1578 0.0000
Sc: 0.8422 0.6578 0.0000
Cr: 0.0000 0.0000 0.5000
Cr: 0.5000 0.5000 0.5000
C: 0.1602 0.6602 0.5000
C: 0.3398 0.1602 0.5000
C: 0.6602 0.8398 0.5000
C: 0.8398 0.3398 0.5000

Values from the calculation:
Its crystal system is tetragonal. The value obtained for the spin magnetization is 3.9 μB per cell. The space group is P4/mbm. Its offset from the most stable computed form is 1.03 eV/f.u. Its formation energy is -15.9 kJ per mole of atoms.

No. 2
This record from Alexandria describes crystalline Pm12PaCo7 at its relaxed geometry. The functional is PBE-GGA.

abc: 8.8408 8.8408 8.8408
angles: 109.63 109.63 109.63
Element x y z (fractional)
Pm: 0.0952 0.2431 0.6573
Pm: 0.1295 0.4246 0.3433
Pm: 0.2431 0.6573 0.0952
Pm: 0.3433 0.1295 0.4246
Pm: 0.3427 0.9048 0.7569
Pm: 0.4246 0.3433 0.1295
Pm: 0.5753 0.6567 0.8705
Pm: 0.6573 0.0952 0.2431
Pm: 0.6567 0.8705 0.5753
Pm: 0.7569 0.3427 0.9048
Pm: 0.8705 0.5754 0.6567
Pm: 0.9048 0.7569 0.3427
Pa: 0.0000 0.0000 0.0000
Co: 0.0429 0.2671 0.9549
Co: 0.0451 0.9571 0.7329
Co: 0.2671 0.9549 0.0429
Co: 0.5000 0.5000 0.5000
Co: 0.7329 0.0451 0.9571
Co: 0.9549 0.0429 0.2671
Co: 0.9571 0.7329 0.0451

Values from the calculation:
Its crystal system is trigonal. The value obtained for the spin magnetization is 0.0 μB per cell. The space group is R-3. Its formation energy is -9.9 kJ per mole of atoms.

No. 3
This record from Alexandria describes crystalline MnNiMo2 at its relaxed geometry. The functional is PBE-GGA.

abc: 2.6222 4.3180 4.8206
angles: 90.00 95.57 90.00
Element x y z (fractional)
Mn: 0.0000 0.0000 0.0000
Ni: 0.0293 0.5000 0.7118
Mo: 0.4379 0.0000 0.5122
Mo: 0.6362 0.5000 0.1981

Values from the calculation:
Its crystal system is monoclinic. The value obtained for the spin magnetization is 1.9 μB per cell. The space group is Pm. Its offset from the most stable computed form is 0.11 eV/f.u. Its formation energy is 8.8 kJ per mole of atoms.